(1)
Below is a relaxed structure of Sc4Bi3Mo2C3, with properties calculated at the PBE-GGA level.

abc: 10.1349 5.8915 14.5027
angles: 90.00 102.32 90.00
Space group C2/c (No. 15)
Symmetry-distinct sites (fractional):
Sc 0.1097 0.0745 0.0837 x8
Sc 0.2188 0.0875 0.4162 x8
Bi 0.0000 0.1010 0.7500 x4
Bi 0.1624 0.4229 0.2511 x8
Mo 0.0696 0.4097 0.9314 x8
C 0.0783 0.2653 0.5000 x8
C 0.2500 0.2500 0.0000 x4

## Properties
- Theoretical density: 8.12 g cm⁻³
- Calculated total energy: -0.561 Ry per atom

(2)
Below is a relaxed structure of SnBiMo4C2, with properties calculated at the PBE-GGA level.

abc: 3.2362 3.2362 13.6440
angles: 90.00 90.00 120.00
Space group P-6m2 (No. 187)
Symmetry-distinct sites (fractional):
Sn 0.0000 0.0000 0.0000 x1
Bi 0.3333 0.6667 0.5000 x1
Mo 0.0000 0.0000 0.3219 x2
Mo 0.3333 0.6667 0.1650 x2
C 0.6667 0.3333 0.2466 x2

## Properties
- Theoretical density: 9.87 g cm⁻³
- Calculated total energy: -0.632 Ry per atom

(3)
Below is a relaxed structure of TlBiMo4C2, with properties calculated at the PBE-GGA level.

abc: 3.2219 3.2219 13.9079
angles: 90.00 90.00 120.00
Space group P-6m2 (No. 187)
Symmetry-distinct sites (fractional):
Tl 0.0000 0.0000 0.0000 x1
Bi 0.6667 0.3333 0.5000 x1
Mo 0.0000 0.0000 0.3266 x2
Mo 0.6667 0.3333 0.1722 x2
C 0.3333 0.6667 0.2509 x2

## Properties
- Theoretical density: 10.91 g cm⁻³
- Calculated total energy: -0.611 Ry per atom

- What is the theoretical density in the first record?
  8.12 g cm⁻³